(1)
{
  "formula": "RbSnPb4",
  "functional": "GGA-PBE",
  "state": "relaxed",
  "e_above_lowest_polymorph_mev_per_atom": 71,
  "formation_enthalpy_0k_mev_per_atom": 51,
  "lattice_angstrom": [[-5.237, -3.882, -1.398], [-1.401, -5.234, 3.885], [-5.380, 0.115, 3.936]],
  "species": ["Pb", "Pb", "Pb", "Pb", "Sn", "Rb"],
  "frac_coords": [[0.625, 0.625, 0.625], [0.124, 0.625, 0.625], [0.625, 0.625, 0.124], [0.625, 0.124, 0.625], [0.000, 0.000, 0.000], [0.250, 0.250, 0.250]]
}

---

(2)
{
  "formula": "TcPbBr2",
  "functional": "GGA-PBE",
  "state": "relaxed",
  "e_above_lowest_polymorph_mev_per_atom": 289,
  "raw_formation_energy_mev_per_atom": 306,
  "lattice_angstrom": [[3.658, -0.012, 0.000], [-2.107, 2.990, 0.000], [0.000, 0.000, 9.992]],
  "species": ["Pb", "Tc", "Br", "Br"],
  "frac_coords": [[0.500, 0.500, 0.250], [0.500, 0.500, 0.750], [0.000, 0.000, 0.947], [0.000, 0.000, 0.553]]
}

---

(3)
{
  "formula": "InMo3S",
  "functional": "GGA-PBE",
  "state": "relaxed",
  "e_above_lowest_polymorph_mev_per_atom": 2326,
  "raw_formation_energy_mev_per_atom": 2674,
  "lattice_angstrom": [[4.928, 0.000, 0.000], [0.000, 4.928, 0.000], [0.000, 0.000, 4.928]],
  "species": ["S", "In", "Mo", "Mo", "Mo"],
  "frac_coords": [[0.500, 0.500, 0.500], [0.000, 0.000, 0.000], [0.000, 0.000, 0.500], [0.000, 0.500, 0.000], [0.500, 0.000, 0.000]]
}

---

(4)
{
  "formula": "Tl5HgSe",
  "functional": "GGA-PBE",
  "state": "relaxed",
  "raw_formation_energy_mev_per_atom": -108,
  "lattice_angstrom": [[-4.868, -4.306, -1.014], [7.024, -2.693, -4.177], [4.633, -8.338, 13.167]],
  "species": ["Hg", "Hg", "Hg", "Hg", "Tl", "Tl", "Tl", "Tl", "Tl", "Tl", "Tl", "Tl", "Tl", "Tl", "Tl", "Tl", "Tl", "Tl", "Tl", "Tl", "Tl", "Tl", "Tl", "Tl", "Se", "Se", "Se", "Se"],
  "frac_coords": [[0.130, 0.250, 0.790], [0.370, 0.250, 0.290], [0.870, 0.750, 0.210], [0.630, 0.750, 0.710], [0.137, 0.539, 0.658], [0.599, 0.398, 0.123], [0.637, 0.039, 0.842], [0.901, 0.142, 0.204], [0.863, 0.461, 0.342], [0.717, 0.810, 0.028], [0.656, 0.022, 0.399], [0.099, 0.858, 0.796], [0.401, 0.642, 0.296], [0.363, 0.961, 0.158], [0.217, 0.310, 0.472], [0.283, 0.190, 0.972], [0.901, 0.102, 0.623], [0.844, 0.478, 0.899], [0.599, 0.358, 0.704], [0.156, 0.522, 0.101], [0.099, 0.898, 0.377], [0.401, 0.602, 0.877], [0.344, 0.978, 0.601], [0.783, 0.690, 0.528], [0.173, 0.809, 0.982], [0.673, 0.309, 0.518], [0.827, 0.191, 0.018], [0.327, 0.691, 0.482]]
}

---

(5)
{
  "formula": "Nb3TcB",
  "functional": "GGA-PBE",
  "state": "relaxed",
  "e_above_lowest_polymorph_mev_per_atom": 1620,
  "formation_enthalpy_0k_mev_per_atom": 1821,
  "lattice_angstrom": [[4.758, 0.000, 0.000], [0.000, 4.758, 0.000], [0.000, 0.000, 4.758]],
  "species": ["Nb", "Nb", "Nb", "B", "Tc"],
  "frac_coords": [[0.000, 0.000, 0.500], [0.500, 0.000, 0.000], [0.000, 0.500, 0.000], [0.500, 0.500, 0.500], [0.000, 0.000, 0.000]]
}

---

(6)
{
  "formula": "PmPr2DyBi4",
  "functional": "GGA-PBE",
  "state": "relaxed",
  "formation_enthalpy_0k_mev_per_atom": -926,
  "lattice_angstrom": [[4.589, 0.000, 0.000], [0.000, 7.937, -0.154], [0.000, 2.795, 7.435]],
  "species": ["Pr", "Pr", "Dy", "Bi", "Bi", "Bi", "Bi", "Pm"],
  "frac_coords": [[0.500, 0.000, 0.500], [0.000, 0.000, 0.000], [0.000, 0.500, 0.500], [0.500, 0.742, 0.256], [0.000, 0.744, 0.749], [0.000, 0.256, 0.251], [0.500, 0.258, 0.744], [0.500, 0.500, 0.000]]
}